No. 1
ReRh2: relaxed, GGA-PBE.

Geometry as CIF:
```
data_ReRh2
_cell_length_a 4.3594
_cell_length_b 4.3594
_cell_length_c 2.7739
_cell_angle_alpha 90.00
_cell_angle_beta 90.00
_cell_angle_gamma 90.00
_symmetry_space_group_name_H-M 'P 4/m m m'
_symmetry_Int_Tables_number 123
_symmetry_space_group_name_Hall '-P 4 2'
loop_
_atom_site_label
_atom_site_fract_x
_atom_site_fract_y
_atom_site_fract_z
Re1 0.0000 0.0000 0.0000
Rh1 0.0000 0.5000 0.5000
```

Values from the calculation:
Crystal system: tetragonal
Formation energy in eV per formula unit: 1.9
DOS(E_F) in states/eV per atom: 1.183
Polymorph energy (0 for the lowest one) in eV per atom: 0.804

***

No. 2
Re5Rh3: relaxed, GGA-PBE.

Geometry as CIF:
```
data_Re5Rh3
_cell_length_a 3.9032
_cell_length_b 3.9032
_cell_length_c 15.3412
_cell_angle_alpha 90.00
_cell_angle_beta 90.00
_cell_angle_gamma 90.00
_symmetry_space_group_name_H-M 'I -4 m 2'
_symmetry_Int_Tables_number 119
_symmetry_space_group_name_Hall 'I -4 -2'
loop_
_atom_site_label
_atom_site_fract_x
_atom_site_fract_y
_atom_site_fract_z
Re1 0.0000 0.0000 0.0000
Re2 0.0000 0.0000 0.2512
Re3 0.0000 0.5000 0.1230
Rh1 0.0000 0.0000 0.5000
Rh2 0.0000 0.5000 0.6243
```

Values from the calculation:
Crystal system: tetragonal
Formation energy in eV per formula unit: -0.3
DOS(E_F) in states/eV per atom: 1.012
Polymorph energy (0 for the lowest one) in eV per atom: 0.099

***

No. 3
Re3Rh: relaxed, GGA-PBE.

Geometry as CIF:
```
data_Re3Rh
_cell_length_a 6.2181
_cell_length_b 6.2181
_cell_length_c 6.2181
_cell_angle_alpha 90.00
_cell_angle_beta 90.00
_cell_angle_gamma 90.00
_symmetry_space_group_name_H-M 'F m -3 m'
_symmetry_Int_Tables_number 225
_symmetry_space_group_name_Hall '-F 4 2 3'
loop_
_atom_site_label
_atom_site_fract_x
_atom_site_fract_y
_atom_site_fract_z
Re1 0.0000 0.0000 0.0000
Re2 0.2500 0.2500 0.2500
Rh1 0.0000 0.0000 0.5000
```

Values from the calculation:
Crystal system: cubic
Formation energy in eV per formula unit: 1.4
DOS(E_F) in states/eV per atom: 1.973

***

No. 4
Re5Rh3: relaxed, GGA-PBE.

Geometry as CIF:
```
data_Re5Rh3
_cell_length_a 5.5228
_cell_length_b 7.6749
_cell_length_c 11.0420
_cell_angle_alpha 90.00
_cell_angle_beta 90.00
_cell_angle_gamma 90.00
_symmetry_space_group_name_H-M 'F 2 2 2'
_symmetry_Int_Tables_number 22
_symmetry_space_group_name_Hall 'F 2 2'
loop_
_atom_site_label
_atom_site_fract_x
_atom_site_fract_y
_atom_site_fract_z
Re1 0.0000 0.0000 0.0000
Re2 0.0000 0.0000 0.2499
Re3 0.2500 0.2500 0.6219
Rh1 0.0000 0.0000 0.5000
Rh2 0.2500 0.2500 0.1262
```

Values from the calculation:
Crystal system: orthorhombic
Formation energy in eV per formula unit: -0.4
DOS(E_F) in states/eV per atom: 0.980
Polymorph energy (0 for the lowest one) in eV per atom: 0.095

***

No. 5
ReRh3: relaxed, GGA-PBE.

Geometry as CIF:
```
data_ReRh3
_cell_length_a 2.7147
_cell_length_b 3.8709
_cell_length_c 5.4420
_cell_angle_alpha 90.00
_cell_angle_beta 90.27
_cell_angle_gamma 90.00
_symmetry_space_group_name_H-M 'P 1 2/m 1'
_symmetry_Int_Tables_number 10
loop_
_symmetry_equiv_pos_as_xyz
'x,y,z'
'-x,-y,-z'
'-x,y,-z'
'x,-y,z'
loop_
_atom_site_label
_atom_site_fract_x
_atom_site_fract_y
_atom_site_fract_z
Re1 0.0000 0.0000 0.0000
Rh1 0.0000 0.0000 0.5000
Rh2 0.5004 0.5000 0.2454
```

Values from the calculation:
Crystal system: monoclinic
Formation energy in eV per formula unit: -0.3
DOS(E_F) in states/eV per atom: 1.136
Polymorph energy (0 for the lowest one) in eV per atom: 0.038

***

No. 6
ReRh3: relaxed, GGA-PBE.

Geometry as CIF:
```
data_ReRh3
_cell_length_a 2.7338
_cell_length_b 4.3747
_cell_length_c 4.7758
_cell_angle_alpha 90.00
_cell_angle_beta 90.00
_cell_angle_gamma 90.00
_symmetry_space_group_name_H-M 'P m m 2'
_symmetry_Int_Tables_number 25
loop_
_symmetry_equiv_pos_as_xyz
'x,y,z'
'-x,-y,z'
'-x,y,z'
'x,-y,z'
loop_
_atom_site_label
_atom_site_fract_x
_atom_site_fract_y
_atom_site_fract_z
Re1 0.0000 0.0000 0.0000
Rh1 0.0000 0.5000 0.3249
Rh2 0.5000 0.0000 0.4976
Rh3 0.5000 0.5000 0.8281
```

Values from the calculation:
Crystal system: orthorhombic
Formation energy in eV per formula unit: -0.3
DOS(E_F) in states/eV per atom: 1.052
Polymorph energy (0 for the lowest one) in eV per atom: 0.027